[1]
DFT (PBE-GGA) results for a geometry-optimized Li2AgF4 structure.

Unit cell a=8.953 b=8.953 c=5.731 alpha=90.00 beta=90.00 gamma=90.00
Each line ends with the local moment (μB).
Element x y z (fractional)
Ag  0.500  0.000  0.000  0.50
Li  0.250  0.750  0.750  0.00
F  0.291  0.109  0.500  0.12
F  0.891  0.291  0.500  0.12
F  0.291  0.891  0.000  0.12
Li  0.250  0.750  0.250  0.00
F  0.209  0.391  0.500  0.12
F  0.109  0.709  0.500  0.12
F  0.609  0.791  0.000  0.12
F  0.609  0.209  0.500  0.12
F  0.391  0.791  0.500  0.12
Ag  0.000  0.500  0.000  0.50
F  0.709  0.109  0.000  0.12
Li  0.750  0.250  0.250  0.00
Li  0.250  0.250  0.250  0.00
F  0.791  0.391  0.000  0.12
Li  0.750  0.250  0.750  0.00
F  0.891  0.709  0.000  0.12
Ag  0.500  0.000  0.500  0.50
Li  0.750  0.750  0.750  0.00
F  0.109  0.291  0.000  0.12
F  0.709  0.891  0.500  0.12
Li  0.250  0.250  0.750  0.00
F  0.791  0.609  0.500  0.12
F  0.391  0.209  0.000  0.12
Ag  0.000  0.500  0.500  0.50
F  0.209  0.609  0.000  0.12
Li  0.750  0.750  0.250  0.00

Computed properties:
ΔE_f (raw): -2093 meV/atom
space-group type: P4/mcc, No. 124
ΔE to the lowest computed polymorph: 0.052 eV/atom


[2]
DFT (PBE-GGA) results for a geometry-optimized Pr2NdY5 structure.

Unit cell a=5.122 b=7.235 c=14.483 alpha=90.00 beta=90.00 gamma=90.00
Element x y z (fractional)
Y  0.000  0.002  0.750
Y  0.500  0.752  0.625
Y  0.500  0.252  0.875
Nd  0.000  0.000  0.500
Pr  0.500  0.252  0.625
Nd  0.000  0.500  0.000
Pr  0.500  0.752  0.875
Y  0.000  0.498  0.250
Pr  0.500  0.248  0.125
Y  0.000  0.000  0.000
Y  0.000  0.998  0.250
Pr  0.500  0.748  0.375
Y  0.500  0.248  0.375
Y  0.000  0.500  0.500
Y  0.000  0.502  0.750
Y  0.500  0.748  0.125

Computed properties:
space-group type: Pbam, No. 55
ΔE to the lowest computed polymorph: 0.000 eV/atom


[3]
DFT (PBE-GGA) results for a geometry-optimized ZnAg4Au2 structure.

Unit cell a=4.073 b=5.688 c=5.688 alpha=94.81 beta=90.00 gamma=90.00
Element x y z (fractional)
Ag  0.500  0.500  0.000
Ag  0.500  0.000  0.500
Au  0.000  0.295  0.705
Ag  0.000  0.810  0.810
Zn  0.500  0.500  0.500
Ag  0.000  0.190  0.190
Au  0.000  0.705  0.295

Computed properties:
space-group type: Cmmm, No. 65
ΔE to the lowest computed polymorph: 0.037 eV/atom


[4]
DFT (PBE-GGA) results for a geometry-optimized KBa5Hg6 structure.

Unit cell a=5.948 b=8.369 c=9.426 alpha=90.00 beta=71.43 gamma=90.00
Element x y z (fractional)
Hg  0.500  0.741  0.000
Ba  0.663  0.000  0.674
K  0.000  0.000  0.000
Ba  0.000  0.500  0.000
Hg  0.830  0.748  0.340
Ba  0.667  0.500  0.666
Hg  0.170  0.748  0.660
Hg  0.500  0.259  0.000
Ba  0.337  0.000  0.326
Hg  0.170  0.252  0.660
Ba  0.333  0.500  0.334
Hg  0.830  0.252  0.340

Computed properties:
space-group type: P2/m, No. 10
total DFT energy (no corrections): -18.1 eV/f.u.


[5]
DFT (PBE-GGA) results for a geometry-optimized KAg2Rh2 structure.

Unit cell a=8.393 b=8.393 c=2.746 alpha=90.00 beta=90.00 gamma=90.00
Each line ends with the local moment (μB).
Element x y z (fractional)
Ag  0.182  0.682  0.500  0.01
Ag  0.818  0.318  0.500  0.01
K  0.500  0.500  0.000  0.00
Ag  0.682  0.818  0.500  0.01
Rh  0.390  0.890  0.000  0.33
Rh  0.890  0.610  0.000  0.35
K  0.000  0.000  0.000  0.00
Ag  0.318  0.182  0.500  0.01
Rh  0.610  0.110  0.000  0.33
Rh  0.110  0.390  0.000  0.35

Computed properties:
space-group type: P4/mbm, No. 127
ΔE to the lowest computed polymorph: 0.000 eV/atom


[6]
DFT (PBE-GGA) results for a geometry-optimized Li3CrIn structure.

Unit cell a=4.894 b=4.894 c=4.894 alpha=90.00 beta=90.00 gamma=90.00
Each line ends with the local moment (μB).
Element x y z (fractional)
Li  0.000  0.500  0.000  0.02
Cr  0.000  0.000  0.000  4.14
Li  0.000  0.000  0.500  0.01
In  0.500  0.500  0.500  -0.03
Li  0.500  0.000  0.000  0.02

Computed properties:
space-group type: Pm-3m, No. 221
total DFT energy (no corrections): -15.0 eV/f.u.


[7]
DFT (PBE-GGA) results for a geometry-optimized Nd2MgSi3Ni12 structure.

Unit cell a=6.328 b=6.328 c=6.328 alpha=84.93 beta=84.93 gamma=84.93
Element x y z (fractional)
Ni  0.381  0.381  0.907
Ni  0.814  0.814  0.300
Ni  0.300  0.814  0.814
Ni  0.381  0.907  0.381
Ni  0.907  0.381  0.381
Ni  0.619  0.093  0.619
Si  0.500  0.000  0.000
Nd  0.649  0.649  0.649
Ni  0.700  0.186  0.186
Si  0.000  0.000  0.500
Ni  0.186  0.700  0.186
Ni  0.619  0.619  0.093
Si  0.000  0.500  0.000
Mg  0.000  0.000  0.000
Ni  0.093  0.619  0.619
Nd  0.351  0.351  0.351
Ni  0.814  0.300  0.814
Ni  0.186  0.186  0.700

Computed properties:
ΔE_f (raw): -126 meV/atom
space-group type: R-3m, No. 166


[8]
DFT (PBE-GGA) results for a geometry-optimized PRh structure.

Unit cell a=2.996 b=2.996 c=2.996 alpha=90.00 beta=90.00 gamma=90.00
Element x y z (fractional)
P  0.000  0.000  0.000
Rh  0.500  0.500  0.500

Computed properties:
space-group type: Pm-3m, No. 221
total DFT energy (no corrections): -13.1 eV/f.u.


[9]
DFT (PBE-GGA) results for a geometry-optimized SrTa2SbO8 structure.

Unit cell a=5.147 b=5.147 c=7.127 alpha=82.16 beta=82.16 gamma=78.67
Element x y z (fractional)
Sr  0.000  0.000  0.500
O  0.210  0.756  0.223
O  0.733  0.733  0.051
Ta  0.440  0.440  0.733
Ta  0.560  0.560  0.267
Sb  0.000  0.000  0.000
O  0.667  0.667  0.482
O  0.244  0.790  0.777
O  0.756  0.210  0.223
O  0.267  0.267  0.949
O  0.790  0.244  0.777
O  0.333  0.333  0.518

Computed properties:
ΔE_f (raw): -2404 meV/atom
space-group type: C2/m, No. 12


[10]
DFT (PBE-GGA) results for a geometry-optimized FeIrOs structure.

Unit cell a=5.872 b=5.872 c=5.872 alpha=153.39 beta=153.39 gamma=37.99
Each line ends with the local moment (μB).
Element x y z (fractional)
Ir  0.336  0.336  0.000  -0.01
Os  0.662  0.662  0.000  -0.22
Fe  0.002  0.002  0.000  2.15

Computed properties:
space-group type: I4mm, No. 107
ΔE to the lowest computed polymorph: 0.039 eV/atom


[11]
DFT (PBE-GGA) results for a geometry-optimized Cd5Ag6Bi structure.

Unit cell a=4.655 b=7.405 c=7.499 alpha=90.00 beta=90.00 gamma=71.68
Element x y z (fractional)
Ag  0.173  0.655  0.259
Ag  0.500  0.000  0.265
Ag  0.827  0.345  0.259
Ag  0.827  0.345  0.741
Cd  0.330  0.341  0.000
Bi  0.000  0.000  0.000
Cd  0.664  0.671  0.500
Cd  0.670  0.659  0.000
Cd  0.336  0.329  0.500
Cd  0.000  0.000  0.500
Ag  0.500  0.000  0.735
Ag  0.173  0.655  0.741

Computed properties:
space-group type: Cmmm, No. 65
total DFT energy (no corrections): -25.7 eV/f.u.


[12]
DFT (PBE-GGA) results for a geometry-optimized ScBHRh2 structure.

Unit cell a=3.977 b=4.623 c=3.977 alpha=90.00 beta=90.00 gamma=90.00
Element x y z (fractional)
H  0.500  0.500  0.500
Rh  0.500  0.000  0.000
Rh  0.000  0.000  0.500
B  0.000  0.000  0.000
Sc  0.000  0.500  0.000

Computed properties:
space-group type: P4/mmm, No. 123
total DFT energy (no corrections): -30.6 eV/f.u.